# 1
VASP calculation (GGA-PBE) on a geometry-optimized AcCeRh2 structure.

Calculated values
crystal system: trigonal
DFT formation energy: -2.82 eV/f.u.
N(E_F): 3.10 states/eV/cell
uncorrected energy: -6.89 eV per atom
E above lowest polymorph: 1 meV/atom
total moment: 0.0 μB per formula unit

a b c (Å): 4.5190 4.5190 6.2281
angles (deg): 68.73 68.73 60.00
Closest atoms and distances in Å follow each position.
Atoms (fractional coordinates):
1 Ac 0.5000 0.5000 0.5000  8 Rh 3.28-3.67
2 Rh 0.7161 0.7161 0.8517  3 Ce 2.74
3 Rh 0.2839 0.2839 0.1483  3 Ce 2.74
4 Ce 0.0000 0.0000 0.0000  6 Rh 2.74



# 2
VASP calculation (GGA-PBE) on a geometry-optimized AuSe2NCl structure.

Calculated values
crystal system: tetragonal
energy relative to the elements, uncorrected: 6.1 eV per formula unit
N(E_F): 6.50 states/eV/cell
uncorrected energy: -2.86 eV per atom
E above lowest polymorph: 0 meV/atom
total moment: 1.0 μB per formula unit

a b c (Å): 5.4691 5.4691 3.7302
angles (deg): 90.00 90.00 90.00
Closest atoms and distances in Å follow each position.
Atoms (fractional coordinates):
1 N 0.0000 0.0000 0.5000  2 Au 1.87
2 Au 0.0000 0.0000 0.0000  2 N 1.87
3 Se 0.0000 0.5000 0.0000  2 Au 2.73
4 Se 0.5000 0.0000 0.0000  2 Au 2.73
5 Cl 0.5000 0.5000 0.5000  8 Se 3.31



# 3
VASP calculation (GGA-PBE) on a geometry-optimized CaTa2Re structure.

Calculated values
crystal system: cubic
DFT formation energy: 2.00 eV/f.u.
N(E_F): 4.32 states/eV/cell
uncorrected energy: -9.04 eV per atom
E above lowest polymorph: 142 meV/atom
total moment: 0.0 μB per formula unit

a b c (Å): 4.7116 4.7116 4.7116
angles (deg): 60.00 60.00 60.00
Closest atoms and distances in Å follow each position.
Atoms (fractional coordinates):
1 Re 0.5000 0.5000 0.5000  8 Ta 2.89
2 Ca 0.0000 0.0000 0.0000  8 Ta 2.89
3 Ta 0.2500 0.2500 0.2500  4 Re 2.89, 4 Ca 2.89
4 Ta 0.7500 0.7500 0.7500  4 Ca 2.89, 4 Re 2.89



> Which value of uncorrected energy does entry 2 give?

-2.86 eV per atom